An optimized crystal structure of LiOs2N, computed with PBE. Values from VASP.

Summary:
- volume (Å³/cell) = 99
- size of the total moment (μB per atom) = 0.000
- calculated density (g/cm³) = 13.51
- raw formation energy (eV/atom) = 0.44

The structure in Quantum ESPRESSO input format:
```
&SYSTEM
  ibrav = 0, nat = 8, ntyp = 3
/
ATOMIC_SPECIES
N 14.01 N.upf
Li 6.94 Li.upf
Os 190.23 Os.upf
ATOMIC_POSITIONS crystal
N 0.750 0.250 0.500
N 0.000 0.000 0.000
Li 0.500 0.500 0.000
Li 0.250 0.750 0.500
Os 0.875 0.986 0.750
Os 0.736 0.125 0.250
Os 0.375 0.264 0.750
Os 0.014 0.625 0.250
CELL_PARAMETERS angstrom
-5.114 3.737 -2.272
-3.571 -1.550 5.489
-3.525 2.835 2.632
```


An optimized crystal structure of LiOsN2, computed with PBE. Values from VASP.

Summary:
- volume (Å³/cell) = 202
- size of the total moment (μB per atom) = 0.000
- energy relative to the lowest polymorph listed for this composition (kJ/mol of atoms) = 2.6
- calculated density (g/cm³) = 7.39
- raw formation energy (eV/atom) = 0.05

The structure in Quantum ESPRESSO input format:
```
&SYSTEM
  ibrav = 0, nat = 16, ntyp = 3
/
ATOMIC_SPECIES
N 14.01 N.upf
Os 190.23 Os.upf
Li 6.94 Li.upf
ATOMIC_POSITIONS crystal
N 0.905 0.889 0.855
N 0.854 0.433 0.106
N 0.354 0.567 0.894
N 0.905 0.389 0.645
N 0.354 0.067 0.606
N 0.405 0.111 0.145
N 0.405 0.611 0.355
N 0.854 0.933 0.394
Os 0.007 0.571 0.875
Os 0.507 0.929 0.375
Os 0.007 0.071 0.625
Os 0.507 0.429 0.125
Li 0.005 0.580 0.377
Li 0.505 0.920 0.877
Li 0.505 0.420 0.623
Li 0.005 0.080 0.123
CELL_PARAMETERS angstrom
-3.989 2.562 -2.684
-2.095 -5.019 -1.677
-3.741 -0.225 5.345
```


An optimized crystal structure of LiOs3N, computed with PBE. Values from VASP.

Summary:
- volume (Å³/cell) = 67
- size of the total moment (μB per atom) = 0.000
- calculated density (g/cm³) = 14.62
- raw formation energy (eV/atom) = 2.75

The structure in Quantum ESPRESSO input format:
```
&SYSTEM
  ibrav = 0, nat = 5, ntyp = 3
/
ATOMIC_SPECIES
Li 6.94 Li.upf
N 14.01 N.upf
Os 190.23 Os.upf
ATOMIC_POSITIONS crystal
Li 0.000 0.000 0.000
N 0.500 0.500 0.500
Os 0.500 0.000 0.000
Os 0.000 0.500 0.000
Os 0.000 0.000 0.500
CELL_PARAMETERS angstrom
4.066 0.000 0.000
0.000 4.066 0.000
0.000 0.000 4.066
```


An optimized crystal structure of Li6OsN4, computed with PBE. Values from VASP.

Summary:
- volume (Å³/cell) = 220
- size of the total moment (μB per atom) = 0.000
- calculated density (g/cm³) = 4.35
- raw formation energy (eV/atom) = -0.41

The structure in Quantum ESPRESSO input format:
```
&SYSTEM
  ibrav = 0, nat = 22, ntyp = 3
/
ATOMIC_SPECIES
N 14.01 N.upf
Li 6.94 Li.upf
Os 190.23 Os.upf
ATOMIC_POSITIONS crystal
N 0.500 0.249 0.329
N 0.000 0.749 0.171
N 0.249 0.500 0.671
N 0.251 0.000 0.829
N 0.751 0.500 0.671
N 0.749 0.000 0.829
N 0.500 0.751 0.329
N 0.000 0.251 0.171
Li 0.290 0.710 0.000
Li 0.710 0.290 0.000
Li 0.000 0.500 0.388
Li 0.000 0.500 0.888
Li 0.500 0.000 0.112
Li 0.210 0.790 0.500
Li 0.290 0.290 0.000
Li 0.710 0.710 0.000
Li 0.790 0.790 0.500
Li 0.790 0.210 0.500
Li 0.500 0.000 0.612
Li 0.210 0.210 0.500
Os 0.500 0.500 0.500
Os 0.000 0.000 0.000
CELL_PARAMETERS angstrom
-6.543 -1.111 1.251
1.672 -4.507 4.743
0.039 3.502 3.314
```


An optimized crystal structure of LiOsN3, computed with PBE. Values from VASP.

Summary:
- volume (Å³/cell) = 42
- size of the total moment (μB per atom) = 0.000
- calculated density (g/cm³) = 9.47
- raw formation energy (eV/atom) = 2.30

The structure in Quantum ESPRESSO input format:
```
&SYSTEM
  ibrav = 0, nat = 5, ntyp = 3
/
ATOMIC_SPECIES
Os 190.23 Os.upf
N 14.01 N.upf
Li 6.94 Li.upf
ATOMIC_POSITIONS crystal
Os 0.500 0.500 0.500
N 0.000 0.000 0.500
N 0.500 0.000 0.000
N 0.000 0.500 0.000
Li 0.000 0.000 0.000
CELL_PARAMETERS angstrom
3.475 0.000 0.000
0.000 3.475 0.000
0.000 0.000 3.475
```


An optimized crystal structure of LiOsN2, computed with PBE. Values from VASP.

Summary:
- volume (Å³/cell) = 33
- size of the total moment (μB per atom) = 0.000
- energy relative to the lowest polymorph listed for this composition (kJ/mol of atoms) = 46.8
- calculated density (g/cm³) = 11.38
- raw formation energy (eV/atom) = 0.51

The structure in Quantum ESPRESSO input format:
```
&SYSTEM
  ibrav = 0, nat = 4, ntyp = 3
/
ATOMIC_SPECIES
Li 6.94 Li.upf
N 14.01 N.upf
Os 190.23 Os.upf
ATOMIC_POSITIONS crystal
Li 0.000 0.000 0.000
N 0.250 0.250 0.250
N 0.750 0.750 0.750
Os 0.500 0.500 0.500
CELL_PARAMETERS angstrom
-0.680 0.521 3.492
0.023 3.329 1.359
-3.081 1.547 1.020
```


An optimized crystal structure of LiOsN2, computed with PBE. Values from VASP.

Summary:
- volume (Å³/cell) = 99
- size of the total moment (μB per atom) = 0.000
- energy relative to the lowest polymorph listed for this composition (kJ/mol of atoms) = 0.0
- calculated density (g/cm³) = 7.52
- raw formation energy (eV/atom) = 0.03

The structure in Quantum ESPRESSO input format:
```
&SYSTEM
  ibrav = 0, nat = 8, ntyp = 3
/
ATOMIC_SPECIES
N 14.01 N.upf
Os 190.23 Os.upf
Li 6.94 Li.upf
ATOMIC_POSITIONS crystal
N 0.668 0.125 0.250
N 0.875 0.918 0.750
N 0.082 0.625 0.250
N 0.375 0.332 0.750
Os 0.000 0.000 0.000
Os 0.750 0.250 0.500
Li 0.500 0.500 0.000
Li 0.250 0.750 0.500
CELL_PARAMETERS angstrom
4.651 0.000 0.000
0.000 4.651 0.000
2.325 2.325 4.597
```


An optimized crystal structure of Li3OsN2, computed with PBE. Values from VASP.

Summary:
- volume (Å³/cell) = 368
- size of the total moment (μB per atom) = 0.000
- energy relative to the lowest polymorph listed for this composition (kJ/mol of atoms) = 22.9
- calculated density (g/cm³) = 4.31
- raw formation energy (eV/atom) = -0.09

The structure in Quantum ESPRESSO input format:
```
&SYSTEM
  ibrav = 0, nat = 24, ntyp = 3
/
ATOMIC_SPECIES
N 14.01 N.upf
Li 6.94 Li.upf
Os 190.23 Os.upf
ATOMIC_POSITIONS crystal
N 0.823 0.014 0.067
N 0.177 0.986 0.933
N 0.323 0.986 0.433
N 0.028 0.435 0.088
N 0.677 0.014 0.567
N 0.972 0.565 0.912
N 0.472 0.435 0.588
N 0.528 0.565 0.412
Li 0.895 0.911 0.347
Li 0.041 0.209 0.980
Li 0.541 0.791 0.520
Li 0.959 0.791 0.020
Li 0.317 0.675 0.132
Li 0.183 0.675 0.632
Li 0.105 0.089 0.653
Li 0.605 0.911 0.847
Li 0.817 0.325 0.368
Li 0.395 0.089 0.153
Li 0.683 0.325 0.868
Li 0.459 0.209 0.480
Os 0.164 0.211 0.297
Os 0.664 0.789 0.203
Os 0.836 0.789 0.703
Os 0.336 0.211 0.797
CELL_PARAMETERS angstrom
8.009 0.000 0.000
0.000 6.699 -0.010
0.000 5.249 6.853
```


An optimized crystal structure of LiOsN2, computed with PBE. Values from VASP.

Summary:
- volume (Å³/cell) = 46
- size of the total moment (μB per atom) = 0.102
- energy relative to the lowest polymorph listed for this composition (kJ/mol of atoms) = 67.7
- calculated density (g/cm³) = 8.14
- raw formation energy (eV/atom) = 0.73

The structure in Quantum ESPRESSO input format:
```
&SYSTEM
  ibrav = 0, nat = 4, ntyp = 3
/
ATOMIC_SPECIES
Os 190.23 Os.upf
Li 6.94 Li.upf
N 14.01 N.upf
ATOMIC_POSITIONS crystal
Os 0.000 0.000 0.000
Li 0.500 0.500 0.500
N 0.093 0.093 0.093
N 0.907 0.907 0.907
CELL_PARAMETERS angstrom
1.648 0.000 6.509
-0.824 1.427 6.509
-0.824 -1.427 6.509
```


An optimized crystal structure of Li3OsN2, computed with PBE. Values from VASP.

Summary:
- volume (Å³/cell) = 141
- size of the total moment (μB per atom) = 0.000
- energy relative to the lowest polymorph listed for this composition (kJ/mol of atoms) = 0.0
- calculated density (g/cm³) = 5.64
- raw formation energy (eV/atom) = -0.33

The structure in Quantum ESPRESSO input format:
```
&SYSTEM
  ibrav = 0, nat = 12, ntyp = 3
/
ATOMIC_SPECIES
Os 190.23 Os.upf
Li 6.94 Li.upf
N 14.01 N.upf
ATOMIC_POSITIONS crystal
Os 0.820 0.820 0.250
Os 0.180 0.180 0.750
Li 0.766 0.766 0.750
Li 0.234 0.234 0.250
Li 0.299 0.701 0.000
Li 0.299 0.701 0.500
Li 0.701 0.299 0.500
Li 0.701 0.299 0.000
N 0.453 0.453 0.750
N 0.547 0.547 0.250
N 0.000 0.000 0.000
N 0.000 0.000 0.500
CELL_PARAMETERS angstrom
-3.772 2.965 0.903
-2.347 -4.008 1.504
2.013 0.886 5.502
```


An optimized crystal structure of LiOsN3, computed with PBE. Values from VASP.

Summary:
- volume (Å³/cell) = 56
- size of the total moment (μB per atom) = 0.000
- calculated density (g/cm³) = 7.04
- raw formation energy (eV/atom) = 0.63

The structure in Quantum ESPRESSO input format:
```
&SYSTEM
  ibrav = 0, nat = 5, ntyp = 3
/
ATOMIC_SPECIES
N 14.01 N.upf
Li 6.94 Li.upf
Os 190.23 Os.upf
ATOMIC_POSITIONS crystal
N 0.000 0.000 0.500
N 0.000 0.500 0.000
N 0.500 0.000 0.000
Li 0.500 0.500 0.500
Os 0.000 0.000 0.000
CELL_PARAMETERS angstrom
-2.215 -2.843 -1.313
2.687 -0.900 -2.585
1.608 -2.412 2.511
```


Q: Look up the volume of the eighth one.
A: 368 Å³/cell